# 1
Entry from OQMD via LeMat-Bulk: a geometry-optimized Tb2PrN3 structure (PBE).

Summary:
Total energy = -48.113 eV per cell

a b c (Å): 3.5439 3.5439 8.6895
angles (deg): 90.00 90.00 120.00
Space group P-3m1 (No. 164)
Unique sites:
1 Tb 0.3333 0.6667 0.3382 (multiplicity 2)
2 Pr 0.0000 0.0000 0.0000 (multiplicity 1)
3 N 0.0000 0.0000 0.5000 (multiplicity 1)
4 N 0.3333 0.6667 0.8224 (multiplicity 2)


# 2
Entry from OQMD via LeMat-Bulk: a geometry-optimized PaZn2 structure (PBE).

Summary:
DFT formation energy = 0.033 eV/atom

a b c (Å): 7.794 4.474 13.434
angles (deg): 90.00 103.69 90.00
Space group P2_1/m (No. 11)
Unique sites:
1 Pa 0.137 0.250 0.208 (multiplicity 2)
2 Pa 0.143 0.750 0.378 (multiplicity 2)
3 Pa 0.164 0.250 0.761 (multiplicity 2)
4 Pa 0.304 0.750 0.131 (multiplicity 2)
5 Zn 0.076 0.250 0.973 (multiplicity 2)
6 Zn 0.121 0.750 0.613 (multiplicity 2)
7 Zn 0.179 0.250 0.533 (multiplicity 2)
8 Zn 0.281 0.750 0.899 (multiplicity 2)
9 Zn 0.404 0.250 0.989 (multiplicity 2)
10 Zn 0.442 0.250 0.445 (multiplicity 2)
11 Zn 0.449 0.750 0.746 (multiplicity 2)
12 Zn 0.490 0.250 0.651 (multiplicity 2)


# 3
Entry from OQMD via LeMat-Bulk: a geometry-optimized IrPdNO structure (PBE).

Summary:
Total energy = -49.661 eV per cell

a b c (Å): 3.861 3.861 6.340
angles (deg): 90.00 90.00 90.00
Space group P4/nmm (No. 129, origin choice 2)
Unique sites:
1 Ir 0.250 0.750 0.000 (multiplicity 2)
2 Pd 0.250 0.250 0.375 (multiplicity 2)
3 N 0.250 0.250 0.862 (multiplicity 2)
4 O 0.250 0.750 0.500 (multiplicity 2)


# 4
Entry from OQMD via LeMat-Bulk: a geometry-optimized SbPdNO structure (PBE).

Summary:
Total energy = -44.861 eV per cell

a b c (Å): 3.513 6.285 5.465
angles (deg): 90.00 90.00 90.00
Space group Pmc2_1 (No. 26)
Unique sites:
1 Sb 0.000 0.187 0.000 (multiplicity 2)
2 Pd 0.500 0.479 0.533 (multiplicity 2)
3 N 0.500 0.249 0.803 (multiplicity 2)
4 O 0.000 0.110 0.355 (multiplicity 2)


# 5
Entry from OQMD via LeMat-Bulk: a geometry-optimized RbUS3 structure (PBE).

Summary:
Total energy = -31.349 eV per cell

a b c (Å): 5.204 5.204 5.204
angles (deg): 90.00 90.00 90.00
Space group Pm-3m (No. 221)
Unique sites:
1 Rb 0.000 0.000 0.000 (multiplicity 1)
2 U 0.500 0.500 0.500 (multiplicity 1)
3 S 0.000 0.500 0.500 (multiplicity 3)


# 6
Entry from OQMD via LeMat-Bulk: a geometry-optimized GdLu6I structure (PBE).

Summary:
Total energy = -33.289 eV per cell

a b c (Å): 6.9696 6.9696 5.5612
angles (deg): 90.00 90.00 120.00
Space group P-6m2 (No. 187)
Unique sites:
1 Gd 0.0000 0.0000 0.0000 (multiplicity 1)
2 Lu 0.3328 0.1664 0.5000 (multiplicity 3)
3 Lu 0.5004 0.0007 0.0000 (multiplicity 3)
4 I 0.3333 0.6667 0.5000 (multiplicity 1)


# 7
Entry from OQMD via LeMat-Bulk: a geometry-optimized LiTlZnNi structure (PBE).

Summary:
Total energy = -45.916 eV per cell

a b c (Å): 6.233 6.233 6.233
angles (deg): 90.00 90.00 90.00
Space group F-43m (No. 216)
Unique sites:
1 Li 0.000 0.000 0.000 (multiplicity 4)
2 Tl 0.250 0.250 0.250 (multiplicity 4)
3 Zn 0.250 0.250 0.750 (multiplicity 4)
4 Ni 0.000 0.000 0.500 (multiplicity 4)


# 8
Entry from OQMD via LeMat-Bulk: a geometry-optimized ZrAl4Ir5 structure (PBE).

Summary:
Total energy = -77.247 eV per cell

a b c (Å): 3.001 3.001 16.181
angles (deg): 90.00 90.00 90.00
Space group P4/mmm (No. 123)
Unique sites:
1 Zr 0.000 0.000 0.000 (multiplicity 1)
2 Al 0.000 0.000 0.214 (multiplicity 2)
3 Al 0.000 0.000 0.405 (multiplicity 2)
4 Ir 0.500 0.500 0.123 (multiplicity 2)
5 Ir 0.500 0.500 0.313 (multiplicity 2)
6 Ir 0.500 0.500 0.500 (multiplicity 1)


# 9
Entry from OQMD via LeMat-Bulk: a geometry-optimized CsPrSeO structure (PBE).

Summary:
Total energy = -90.282 eV per cell

a b c (Å): 8.472 7.833 7.003
angles (deg): 90.00 100.45 90.00
Space group P2_1/c (No. 14)
Unique sites:
1 Cs 0.086 0.217 0.483 (multiplicity 4)
2 Pr 0.475 0.629 0.779 (multiplicity 4)
3 Se 0.256 0.589 0.368 (multiplicity 4)
4 O 0.413 0.147 0.388 (multiplicity 4)


# 10
Entry from OQMD via LeMat-Bulk: a geometry-optimized Y2ErCd3AgAu2 structure (PBE).

Summary:
DFT formation energy = -0.586 eV/atom

a b c (Å): 3.843 13.571 7.871
angles (deg): 90.00 90.00 90.00
Space group Amm2 (No. 38)
Unique sites:
1 Y 0.000 0.204 0.000 (multiplicity 4)
2 Er 0.000 0.000 0.612 (multiplicity 2)
3 Cd 0.500 0.000 0.942 (multiplicity 2)
4 Cd 0.500 0.131 0.335 (multiplicity 4)
5 Ag 0.000 0.000 0.205 (multiplicity 2)
6 Au 0.500 0.165 0.703 (multiplicity 4)


# 11
Entry from OQMD via LeMat-Bulk: a geometry-optimized TbBr structure (PBE).

Summary:
Total energy = -8.412 eV per cell

a b c (Å): 3.5985 3.5985 4.5144
angles (deg): 90.00 90.00 120.00
Space group P-6m2 (No. 187)
Unique sites:
1 Tb 0.0000 0.0000 0.0000 (multiplicity 1)
2 Br 0.3333 0.6667 0.5000 (multiplicity 1)


# 12
Entry from OQMD via LeMat-Bulk: a geometry-optimized Pr2MgPbO6 structure (PBE).

Summary:
Total energy = -138.509 eV per cell

a b c (Å): 5.616 5.870 9.811
angles (deg): 90.00 124.49 90.00
Space group P2_1/c (No. 14)
Unique sites:
1 Pr 0.232 0.060 0.250 (multiplicity 4)
2 Mg 0.000 0.000 0.500 (multiplicity 2)
3 Pb 0.500 0.000 0.000 (multiplicity 2)
4 O 0.130 0.203 0.940 (multiplicity 4)
5 O 0.240 0.693 0.942 (multiplicity 4)
6 O 0.356 0.042 0.743 (multiplicity 4)


Mass density list, top to bottom, in g/cm³: 8.80 10.56 11.55 7.11 4.94 9.47 9.20 13.22 5.36 9.58 7.83 7.59